Run A
DFT (PBE-GGA) results for SmCdInTe3 after structural relaxation.

## Properties
Theoretical density ... 6.35 g/cm3
Symmetry ... Pnma
Crystal system ... orthorhombic

Unit cell a=12.9029 b=4.6330 c=13.3023 alpha=90.00 beta=90.00 gamma=90.00
With the nearest neighbours (Å) after each atom.
Sites, in units of the cell vectors:
Cd 0.7556 0.0000 0.1999  4 Te 2.81-2.88
Cd 0.2556 0.0000 0.3001  4 Te 2.81-2.88
Cd 0.7444 0.5000 0.6999  4 Te 2.81-2.88
Cd 0.2444 0.5000 0.8001  4 Te 2.81-2.88
In 0.8266 0.5000 0.0068  5 Te 3.35-3.52, 2 Cd 3.58
In 0.3266 0.5000 0.4932  5 Te 3.35-3.52, 2 Cd 3.58
In 0.6734 0.0000 0.5068  5 Te 3.35-3.52, 2 Cd 3.58
In 0.1734 0.0000 0.9932  5 Te 3.35-3.52, 2 Cd 3.58
Sm 0.4743 0.5000 0.1821  6 Te 3.18-3.35
Sm 0.9743 0.5000 0.3179  6 Te 3.18-3.35
Sm 0.0257 0.0000 0.6821  6 Te 3.18-3.35
Sm 0.5257 0.0000 0.8179  6 Te 3.18-3.35
Te 0.5900 0.0000 0.0622  1 Cd 2.81
Te 0.9699 0.0000 0.1491  1 Cd 2.85
Te 0.2278 0.5000 0.1748  2 Cd 2.88, 1 Sm 3.18
Te 0.7278 0.5000 0.3252  2 Cd 2.88, 1 Sm 3.18
Te 0.4699 0.0000 0.3509  1 Cd 2.85
Te 0.0899 0.0000 0.4378  1 Cd 2.81
Te 0.9100 0.5000 0.5622  1 Cd 2.81
Te 0.5301 0.5000 0.6491  1 Cd 2.85
Te 0.2722 0.0000 0.6748  2 Cd 2.88, 1 Sm 3.18
Te 0.7722 0.0000 0.8252  2 Cd 2.88, 1 Sm 3.18
Te 0.0301 0.5000 0.8509  1 Cd 2.85
Te 0.4100 0.5000 0.9378  1 Cd 2.81

Run B
DFT (PBE-GGA) results for SmCdInTe3 after structural relaxation.

## Properties
Theoretical density ... 6.25 g/cm3
Symmetry ... C2/m
Crystal system ... monoclinic

Unit cell a=9.9788 b=9.9788 c=9.6548 alpha=103.34 beta=103.34 gamma=25.65
With the nearest neighbours (Å) after each atom.
Sites, in units of the cell vectors:
Cd 0.5309 0.5309 0.2208  4 Te 2.88-3.03
Cd 0.4691 0.4691 0.7792  4 Te 2.88-3.03
In 0.8662 0.8662 0.4227  7 Te 3.37-3.59
In 0.1338 0.1338 0.5773  7 Te 3.37-3.59
Sm 0.1751 0.1751 0.0906  6 Te 3.07-3.31
Sm 0.8249 0.8249 0.9094  6 Te 3.07-3.31
Te 0.0000 0.0000 0.0000  4 Cd 3.03, 2 Sm 3.31
Te 0.3371 0.3371 0.1431  3 Sm 3.07-3.13, 2 In 3.43
Te 0.6823 0.6823 0.3235  1 Cd 2.88, 2 Sm 3.14
Te 0.5000 0.5000 0.5000  2 Cd 2.90
Te 0.3177 0.3177 0.6765  1 Cd 2.88, 2 Sm 3.14
Te 0.6629 0.6629 0.8569  3 Sm 3.07-3.13, 2 In 3.43

Which of them is most stable? Easy: run A.

Run A
DFT (PBE-GGA) results for SmCdInTe3 after structural relaxation.

## Properties
Theoretical density ... 6.29 g/cm3
Symmetry ... Pnma
Crystal system ... orthorhombic

Unit cell a=11.7575 b=4.4975 c=15.1910 alpha=90.00 beta=90.00 gamma=90.00
With the nearest neighbours (Å) after each atom.
Sites, in units of the cell vectors:
Cd 0.2389 0.2500 0.2188  4 Te 2.82-2.88
Cd 0.7389 0.2500 0.2812  4 Te 2.82-2.88
Cd 0.2611 0.7500 0.7188  4 Te 2.82-2.88
Cd 0.7611 0.7500 0.7812  4 Te 2.82-2.88
In 0.2272 0.7500 0.0111  7 Te 3.49-3.67, 2 Cd 3.88
In 0.7272 0.7500 0.4889  7 Te 3.49-3.67, 2 Cd 3.88
In 0.2728 0.2500 0.5111  7 Te 3.49-3.67, 2 Cd 3.88
In 0.7728 0.2500 0.9889  7 Te 3.49-3.67, 2 Cd 3.88
Sm 0.4859 0.7500 0.2458  6 Te 3.16-3.23
Sm 0.9859 0.7500 0.2542  6 Te 3.16-3.23
Sm 0.0141 0.2500 0.7458  6 Te 3.16-3.23
Sm 0.5141 0.2500 0.7542  6 Te 3.16-3.23
Te 0.4296 0.2500 0.1061  1 Cd 2.82
Te 0.0405 0.2500 0.1129  1 Cd 2.83
Te 0.7379 0.7500 0.1629  2 Cd 2.88, 1 Sm 3.22
Te 0.2379 0.7500 0.3371  2 Cd 2.88, 1 Sm 3.22
Te 0.5405 0.2500 0.3871  1 Cd 2.83
Te 0.9296 0.2500 0.3939  1 Cd 2.82
Te 0.0704 0.7500 0.6061  1 Cd 2.82
Te 0.4595 0.7500 0.6129  1 Cd 2.83
Te 0.7621 0.2500 0.6629  2 Cd 2.88, 1 Sm 3.22
Te 0.2621 0.2500 0.8371  2 Cd 2.88, 1 Sm 3.22
Te 0.9595 0.7500 0.8871  1 Cd 2.83
Te 0.5704 0.7500 0.8939  1 Cd 2.82

Run B
DFT (PBE-GGA) results for SmCdInTe3 after structural relaxation.

## Properties
Theoretical density ... 5.95 g/cm3
Symmetry ... P2_1/m
Crystal system ... monoclinic

Unit cell a=8.7655 b=4.5131 c=11.1654 alpha=90.00 beta=106.21 gamma=90.00
With the nearest neighbours (Å) after each atom.
Sites, in units of the cell vectors:
Cd 0.5787 0.2500 0.1109  4 Te 2.83-2.97
Cd 0.4213 0.7500 0.8891  4 Te 2.83-2.97
In 0.2451 0.7500 0.2191  4 Te 3.36-3.55
In 0.7549 0.2500 0.7809  4 Te 3.36-3.55
Sm 0.8090 0.7500 0.3601  6 Te 3.11-3.31
Sm 0.1910 0.2500 0.6399  6 Te 3.11-3.31
Te 0.7525 0.7500 0.0539  3 Cd 2.89-2.97
Te 0.0571 0.2500 0.3506  3 Sm 3.11-3.16, 2 In 3.36
Te 0.5561 0.2500 0.3585  1 Cd 2.83, 2 Sm 3.16
Te 0.4439 0.7500 0.6415  1 Cd 2.83, 2 Sm 3.16
Te 0.9429 0.7500 0.6494  3 Sm 3.11-3.16, 2 In 3.36
Te 0.2475 0.2500 0.9461  3 Cd 2.89-2.97

Which of them is most stable? Easy: run A.

Run A
DFT (PBE-GGA) results for SmCdInTe3 after structural relaxation.

## Properties
Theoretical density ... 6.10 g/cm3
Symmetry ... Pnma
Crystal system ... orthorhombic

Unit cell a=15.2707 b=4.5055 c=12.0277 alpha=90.00 beta=90.00 gamma=90.00
With the nearest neighbours (Å) after each atom.
Sites, in units of the cell vectors:
Cd 0.0204 0.2500 0.1023  4 Te 2.84-2.94
Cd 0.5204 0.2500 0.3977  4 Te 2.84-2.94
Cd 0.4796 0.7500 0.6023  4 Te 2.84-2.94
Cd 0.9796 0.7500 0.8977  4 Te 2.84-2.94
In 0.2415 0.7500 0.0443  2 Te 3.28
In 0.7415 0.7500 0.4557  2 Te 3.28
In 0.2585 0.2500 0.5443  2 Te 3.28
In 0.7585 0.2500 0.9557  2 Te 3.28
Sm 0.5270 0.7500 0.1573  6 Te 3.09-3.27
Sm 0.0270 0.7500 0.3427  6 Te 3.09-3.27
Sm 0.9730 0.2500 0.6573  6 Te 3.09-3.27
Sm 0.4730 0.2500 0.8427  6 Te 3.09-3.27
Te 0.3953 0.2500 0.0801  3 Sm 3.09-3.16, 2 In 3.28
Te 0.9024 0.7500 0.1216  3 Cd 2.89-2.94
Te 0.6573 0.2500 0.2372  1 Cd 2.84, 2 Sm 3.16
Te 0.1573 0.2500 0.2628  1 Cd 2.84, 2 Sm 3.16
Te 0.4024 0.7500 0.3784  3 Cd 2.89-2.94
Te 0.8953 0.2500 0.4199  3 Sm 3.09-3.16, 2 In 3.28
Te 0.1047 0.7500 0.5801  3 Sm 3.09-3.16, 2 In 3.28
Te 0.5976 0.2500 0.6216  3 Cd 2.89-2.94
Te 0.8427 0.7500 0.7372  1 Cd 2.84, 2 Sm 3.16
Te 0.3427 0.7500 0.7628  1 Cd 2.84, 2 Sm 3.16
Te 0.0976 0.2500 0.8784  3 Cd 2.89-2.94
Te 0.6047 0.7500 0.9199  3 Sm 3.09-3.16, 2 In 3.28

Run B
DFT (PBE-GGA) results for SmCdInTe3 after structural relaxation.

## Properties
Theoretical density ... 6.51 g/cm3
Symmetry ... Pnma
Crystal system ... orthorhombic

Unit cell a=8.7850 b=4.6939 c=18.8015 alpha=90.00 beta=90.00 gamma=90.00
With the nearest neighbours (Å) after each atom.
Sites, in units of the cell vectors:
Cd 0.0779 0.2500 0.1593  4 Te 2.83-3.16
Cd 0.5779 0.2500 0.3407  4 Te 2.83-3.16
Cd 0.4221 0.7500 0.6593  4 Te 2.83-3.16
Cd 0.9221 0.7500 0.8407  4 Te 2.83-3.16
In 0.4432 0.7500 0.1990  6 Te 3.45-3.53, 2 Cd 3.74
In 0.9432 0.7500 0.3010  6 Te 3.45-3.53, 2 Cd 3.74
In 0.0568 0.2500 0.6990  6 Te 3.45-3.53, 2 Cd 3.74
In 0.5568 0.2500 0.8010  6 Te 3.45-3.53, 2 Cd 3.74
Sm 0.7304 0.2500 0.0407  7 Te 3.15-3.37
Sm 0.2304 0.2500 0.4593  7 Te 3.15-3.37
Sm 0.7696 0.7500 0.5407  7 Te 3.15-3.37
Sm 0.2696 0.7500 0.9593  7 Te 3.15-3.37
Te 0.3721 0.2500 0.0626  1 Cd 3.16, 3 Sm 3.17-3.18, 2 In 3.53
Te 0.9938 0.7500 0.0770  2 Cd 2.91
Te 0.7312 0.2500 0.2082  1 Cd 2.83, 1 Sm 3.15
Te 0.2312 0.2500 0.2918  1 Cd 2.83, 1 Sm 3.15
Te 0.4938 0.7500 0.4230  2 Cd 2.91
Te 0.8721 0.2500 0.4374  1 Cd 3.16, 3 Sm 3.17-3.18, 2 In 3.53
Te 0.1279 0.7500 0.5626  1 Cd 3.16, 3 Sm 3.17-3.18, 2 In 3.53
Te 0.5062 0.2500 0.5770  2 Cd 2.91
Te 0.7688 0.7500 0.7082  1 Cd 2.83, 1 Sm 3.15
Te 0.2688 0.7500 0.7918  1 Cd 2.83, 1 Sm 3.15
Te 0.0062 0.2500 0.9230  2 Cd 2.91
Te 0.6279 0.7500 0.9374  1 Cd 3.16, 3 Sm 3.17-3.18, 2 In 3.53

Which of them is most stable? Easy: run A.

Run A
DFT (PBE-GGA) results for CdInTe after structural relaxation.

## Properties
Theoretical density ... 6.16 g/cm3
Symmetry ... F-43m
Crystal system ... cubic

Unit cell a=5.1336 b=5.1336 c=5.1336 alpha=60.00 beta=60.00 gamma=60.00
With the nearest neighbours (Å) after each atom.
Sites, in units of the cell vectors:
Cd 0.0000 0.0000 0.0000  4 Te 3.14, 4 In 3.14
In 0.2500 0.2500 0.2500  4 Cd 3.14
Te 0.7500 0.7500 0.7500  4 Cd 3.14

Run B
DFT (PBE-GGA) results for CdInTe after structural relaxation.

## Properties
Theoretical density ... 6.78 g/cm3
Symmetry ... Pnma
Crystal system ... orthorhombic

Unit cell a=6.7833 b=4.0920 c=12.5319 alpha=90.00 beta=90.00 gamma=90.00
With the nearest neighbours (Å) after each atom.
Sites, in units of the cell vectors:
Cd 0.4750 0.7500 0.1896  4 Te 3.07-3.35, 3 In 3.08-3.33
Cd 0.9750 0.7500 0.3104  4 Te 3.07-3.35, 3 In 3.08-3.33
Cd 0.0250 0.2500 0.6896  4 Te 3.07-3.35, 3 In 3.08-3.33
Cd 0.5250 0.2500 0.8104  4 Te 3.07-3.35, 3 In 3.08-3.33
In 0.2776 0.2500 0.0395  3 Cd 3.08-3.33, 3 Te 3.13-3.17
In 0.7776 0.2500 0.4605  3 Cd 3.08-3.33, 3 Te 3.13-3.17
In 0.2224 0.7500 0.5395  3 Cd 3.08-3.33, 3 Te 3.13-3.17
In 0.7224 0.7500 0.9605  3 Cd 3.08-3.33, 3 Te 3.13-3.17
Te 0.8556 0.2500 0.1401  4 Cd 3.07-3.35, 3 In 3.13-3.17
Te 0.3556 0.2500 0.3599  4 Cd 3.07-3.35, 3 In 3.13-3.17
Te 0.6444 0.7500 0.6401  4 Cd 3.07-3.35, 3 In 3.13-3.17
Te 0.1444 0.7500 0.8599  4 Cd 3.07-3.35, 3 In 3.13-3.17

Which of them is most stable? Easy: run B.